No. 1
HoEr5Cu6 | PBE | relaxed

Structure (CIF):
```
data_HoEr5Cu6
_symmetry_space_group_name_H-M 'C m m m'
_symmetry_Int_Tables_number 65
_symmetry_space_group_name_Hall '-C 2 2'
_cell_length_a 4.879
_cell_length_b 14.636
_cell_length_c 6.824
_cell_angle_alpha 90.00
_cell_angle_beta 90.00
_cell_angle_gamma 90.00
loop_
_atom_site_label
_atom_site_type_symbol
_atom_site_fract_x
_atom_site_fract_y
_atom_site_fract_z
Ho1 Ho 0.000 0.000 0.000
Er1 Er 0.000 0.000 0.500
Er2 Er 0.000 0.333 0.000
Er3 Er 0.000 0.334 0.500
Cu1 Cu 0.000 0.167 0.250
Cu2 Cu 0.000 0.500 0.251
```

Formation energy = -0.280 eV/atom
E_tot = -4.6105 eV per atom
Magnetic moment = 0.00 Bohr magnetons per cell
DOS(E_F) = 10.57 states/eV/cell
Crystal system = orthorhombic

---

No. 2
Ho5Er2Cu4 | PBE | relaxed

Structure (CIF):
```
data_Ho5Er2Cu4
_symmetry_space_group_name_H-M 'C 1 2/m 1'
_symmetry_Int_Tables_number 12
_cell_length_a 20.071
_cell_length_b 3.567
_cell_length_c 7.736
_cell_angle_alpha 90.00
_cell_angle_beta 99.53
_cell_angle_gamma 90.00
loop_
_symmetry_equiv_pos_as_xyz
'x,y,z'
'-x,-y,-z'
'-x,y,-z'
'x,-y,z'
'x+1/2,y+1/2,z'
'-x+1/2,-y+1/2,-z'
'-x+1/2,y+1/2,-z'
'x+1/2,-y+1/2,z'
loop_
_atom_site_label
_atom_site_type_symbol
_atom_site_fract_x
_atom_site_fract_y
_atom_site_fract_z
Ho1 Ho 0.000 0.000 0.000
Ho2 Ho 0.150 0.500 0.877
Ho3 Ho 0.231 0.500 0.312
Er1 Er 0.093 0.000 0.480
Cu1 Cu 0.014 0.500 0.679
Cu2 Cu 0.094 0.500 0.189
```

Formation energy = -0.063 eV/atom
E_tot = -4.4630 eV per atom
Magnetic moment = 0.01 Bohr magnetons per cell
DOS(E_F) = 24.35 states/eV/cell
Crystal system = monoclinic

---

No. 3
Ho2ErCu4 | PBE | relaxed

Structure (CIF):
```
data_Ho2ErCu4
_symmetry_space_group_name_H-M 'I 4/m m m'
_symmetry_Int_Tables_number 139
_symmetry_space_group_name_Hall '-I 4 2'
_cell_length_a 5.065
_cell_length_b 5.065
_cell_length_c 11.426
_cell_angle_alpha 90.00
_cell_angle_beta 90.00
_cell_angle_gamma 90.00
loop_
_atom_site_label
_atom_site_type_symbol
_atom_site_fract_x
_atom_site_fract_y
_atom_site_fract_z
Ho1 Ho 0.000 0.000 0.213
Er1 Er 0.000 0.000 0.500
Cu1 Cu 0.000 0.500 0.117
```

Formation energy = -0.026 eV/atom
E_tot = -4.3266 eV per atom
Magnetic moment = 0.00 Bohr magnetons per cell
DOS(E_F) = 11.59 states/eV/cell
Crystal system = tetragonal

---

No. 4
Ho4ErCu | PBE | relaxed

Structure (CIF):
```
data_Ho4ErCu
_symmetry_space_group_name_H-M 'P 4/m m m'
_symmetry_Int_Tables_number 123
_symmetry_space_group_name_Hall '-P 4 2'
_cell_length_a 3.478
_cell_length_b 3.478
_cell_length_c 13.663
_cell_angle_alpha 90.00
_cell_angle_beta 90.00
_cell_angle_gamma 90.00
loop_
_atom_site_label
_atom_site_type_symbol
_atom_site_fract_x
_atom_site_fract_y
_atom_site_fract_z
Ho1 Ho 0.000 0.000 0.125
Ho2 Ho 0.500 0.500 0.317
Er1 Er 0.000 0.000 0.500
Cu1 Cu 0.500 0.500 0.000
```

Formation energy = -0.060 eV/atom
E_tot = -4.5547 eV per atom
Magnetic moment = 0.00 Bohr magnetons per cell
DOS(E_F) = 7.40 states/eV/cell
Crystal system = tetragonal

---

No. 5
Ho3Er2Cu3 | PBE | relaxed

Structure (CIF):
```
data_Ho3Er2Cu3
_symmetry_space_group_name_H-M 'I m m m'
_symmetry_Int_Tables_number 71
_symmetry_space_group_name_Hall '-I 2 2'
_cell_length_a 3.507
_cell_length_b 5.069
_cell_length_c 20.727
_cell_angle_alpha 90.00
_cell_angle_beta 90.00
_cell_angle_gamma 90.00
loop_
_atom_site_label
_atom_site_type_symbol
_atom_site_fract_x
_atom_site_fract_y
_atom_site_fract_z
Ho1 Ho 0.000 0.000 0.000
Ho2 Ho 0.000 0.500 0.116
Er1 Er 0.000 0.000 0.226
Cu1 Cu 0.000 0.000 0.500
Cu2 Cu 0.000 0.500 0.385
```

Formation energy = -0.164 eV/atom
E_tot = -4.5576 eV per atom
Magnetic moment = 0.00 Bohr magnetons per cell
DOS(E_F) = 13.55 states/eV/cell
Crystal system = orthorhombic

---

No. 6
HoEr3Cu2 | PBE | relaxed

Structure (CIF):
```
data_HoEr3Cu2
_symmetry_space_group_name_H-M 'I b a m'
_symmetry_Int_Tables_number 72
_symmetry_space_group_name_Hall '-I 2 2c'
_cell_length_a 6.730
_cell_length_b 13.316
_cell_length_c 7.095
_cell_angle_alpha 90.00
_cell_angle_beta 90.00
_cell_angle_gamma 90.00
loop_
_atom_site_label
_atom_site_type_symbol
_atom_site_fract_x
_atom_site_fract_y
_atom_site_fract_z
Ho1 Ho 0.000 0.000 0.000
Er1 Er 0.000 0.234 0.250
Er2 Er 0.000 0.500 0.250
Cu1 Cu 0.208 0.358 0.000
```

Formation energy = 0.003 eV/atom
E_tot = -4.4072 eV per atom
Magnetic moment = 0.00 Bohr magnetons per cell
DOS(E_F) = 27.40 states/eV/cell
Crystal system = orthorhombic

---

No. 7
HoErCu4 | PBE | relaxed

Structure (CIF):
```
data_HoErCu4
_symmetry_space_group_name_H-M 'I m m 2'
_symmetry_Int_Tables_number 44
_cell_length_a 4.266
_cell_length_b 6.775
_cell_length_c 7.314
_cell_angle_alpha 90.00
_cell_angle_beta 90.00
_cell_angle_gamma 90.00
loop_
_symmetry_equiv_pos_as_xyz
'x,y,z'
'-x,-y,z'
'-x,y,z'
'x,-y,z'
'x+1/2,y+1/2,z+1/2'
'-x+1/2,-y+1/2,z+1/2'
'-x+1/2,y+1/2,z+1/2'
'x+1/2,-y+1/2,z+1/2'
loop_
_atom_site_label
_atom_site_type_symbol
_atom_site_fract_x
_atom_site_fract_y
_atom_site_fract_z
Ho1 Ho 0.000 0.000 0.000
Er1 Er 0.000 0.500 0.089
Cu1 Cu 0.000 0.198 0.381
Cu2 Cu 0.000 0.301 0.710
```

Formation energy = -0.285 eV/atom
E_tot = -4.5394 eV per atom
Magnetic moment = 0.00 Bohr magnetons per cell
DOS(E_F) = 5.72 states/eV/cell
Crystal system = orthorhombic

---

No. 8
Ho4Er3Cu4 | PBE | relaxed

Structure (CIF):
```
data_Ho4Er3Cu4
_symmetry_space_group_name_H-M 'I m m m'
_symmetry_Int_Tables_number 71
_symmetry_space_group_name_Hall '-I 2 2'
_cell_length_a 4.797
_cell_length_b 7.279
_cell_length_c 14.965
_cell_angle_alpha 90.00
_cell_angle_beta 90.00
_cell_angle_gamma 90.00
loop_
_atom_site_label
_atom_site_type_symbol
_atom_site_fract_x
_atom_site_fract_y
_atom_site_fract_z
Ho1 Ho 0.000 0.220 0.172
Er1 Er 0.000 0.000 0.396
Er2 Er 0.000 0.500 0.500
Cu1 Cu 0.000 0.332 0.000
Cu2 Cu 0.000 0.500 0.300
```

Formation energy = -0.083 eV/atom
E_tot = -4.4812 eV per atom
Magnetic moment = 0.00 Bohr magnetons per cell
DOS(E_F) = 20.33 states/eV/cell
Crystal system = orthorhombic

---

No. 9
Ho2ErCu | PBE | relaxed

Structure (CIF):
```
data_Ho2ErCu
_symmetry_space_group_name_H-M 'P 4/m m m'
_symmetry_Int_Tables_number 123
_symmetry_space_group_name_Hall '-P 4 2'
_cell_length_a 3.464
_cell_length_b 3.464
_cell_length_c 8.621
_cell_angle_alpha 90.00
_cell_angle_beta 90.00
_cell_angle_gamma 90.00
loop_
_atom_site_label
_atom_site_type_symbol
_atom_site_fract_x
_atom_site_fract_y
_atom_site_fract_z
Ho1 Ho 0.000 0.000 0.200
Er1 Er 0.500 0.500 0.500
Cu1 Cu 0.500 0.500 0.000
```

Formation energy = -0.099 eV/atom
E_tot = -4.5527 eV per atom
Magnetic moment = 0.00 Bohr magnetons per cell
DOS(E_F) = 5.21 states/eV/cell
Crystal system = tetragonal

---

No. 10
HoEr5Cu4 | PBE | relaxed

Structure (CIF):
```
data_HoEr5Cu4
_symmetry_space_group_name_H-M 'P 4/m m m'
_symmetry_Int_Tables_number 123
_symmetry_space_group_name_Hall '-P 4 2'
_cell_length_a 3.438
_cell_length_b 3.438
_cell_length_c 18.869
_cell_angle_alpha 90.00
_cell_angle_beta 90.00
_cell_angle_gamma 90.00
loop_
_atom_site_label
_atom_site_type_symbol
_atom_site_fract_x
_atom_site_fract_y
_atom_site_fract_z
Ho1 Ho 0.000 0.000 0.000
Er1 Er 0.500 0.500 0.136
Er2 Er 0.500 0.500 0.317
Er3 Er 0.500 0.500 0.500
Cu1 Cu 0.000 0.000 0.226
Cu2 Cu 0.000 0.000 0.409
```

Formation energy = -0.211 eV/atom
E_tot = -4.5887 eV per atom
Magnetic moment = 0.00 Bohr magnetons per cell
DOS(E_F) = 7.92 states/eV/cell
Crystal system = tetragonal

---

No. 11
Ho2ErCu | PBE | relaxed

Structure (CIF):
```
data_Ho2ErCu
_symmetry_space_group_name_H-M 'C m c m'
_symmetry_Int_Tables_number 63
_symmetry_space_group_name_Hall '-C 2c 2'
_cell_length_a 4.865
_cell_length_b 11.447
_cell_length_c 7.539
_cell_angle_alpha 90.00
_cell_angle_beta 90.00
_cell_angle_gamma 90.00
loop_
_atom_site_label
_atom_site_type_symbol
_atom_site_fract_x
_atom_site_fract_y
_atom_site_fract_z
Ho1 Ho 0.000 0.148 0.033
Er1 Er 0.000 0.456 0.250
Cu1 Cu 0.000 0.298 0.750
```

Formation energy = -0.067 eV/atom
E_tot = -4.5209 eV per atom
Magnetic moment = 0.01 Bohr magnetons per cell
DOS(E_F) = 19.08 states/eV/cell
Crystal system = orthorhombic

---

No. 12
Ho2Er5Cu4 | PBE | relaxed

Structure (CIF):
```
data_Ho2Er5Cu4
_symmetry_space_group_name_H-M 'C 1 2/m 1'
_symmetry_Int_Tables_number 12
_cell_length_a 22.636
_cell_length_b 3.602
_cell_length_c 6.879
_cell_angle_alpha 90.00
_cell_angle_beta 99.31
_cell_angle_gamma 90.00
loop_
_symmetry_equiv_pos_as_xyz
'x,y,z'
'-x,-y,-z'
'-x,y,-z'
'x,-y,z'
'x+1/2,y+1/2,z'
'-x+1/2,-y+1/2,-z'
'-x+1/2,y+1/2,-z'
'x+1/2,-y+1/2,z'
loop_
_atom_site_label
_atom_site_type_symbol
_atom_site_fract_x
_atom_site_fract_y
_atom_site_fract_z
Ho1 Ho 0.066 0.000 0.168
Er1 Er 0.000 0.500 0.500
Er2 Er 0.171 0.000 0.605
Er3 Er 0.209 0.000 0.130
Cu1 Cu 0.060 0.000 0.770
Cu2 Cu 0.133 0.500 0.893
```

Formation energy = 0.048 eV/atom
E_tot = -4.3474 eV per atom
Magnetic moment = 0.00 Bohr magnetons per cell
DOS(E_F) = 24.24 states/eV/cell
Crystal system = monoclinic